[1]
DFT (PBE-GGA) results for a relaxed Cs4Ag3PdBr12 crystal.

abc: 10.9675 10.9675 10.9675
angles: 90.00 90.00 90.00
Space group Im-3m (No. 229)
One atom of each set of equivalent atoms:
Cs1 0.2500 0.2500 0.2500 [8 per cell]
Ag1 0.0000 0.0000 0.5000 [6 per cell]
Pd1 0.0000 0.0000 0.0000 [2 per cell]
Br1 0.0000 0.0000 0.2325 [12 per cell]
Br2 0.0000 0.2500 0.5000 [12 per cell]

Summary:
Its spin magnetization is 0.0 μB per formula unit. The value obtained for the formation energy from raw total energies is -0.936 eV/atom.

=====

[2]
DFT (PBE-GGA) results for a relaxed Cs3Ag2PdBr9 crystal.

abc: 7.7389 7.7389 9.3893
angles: 90.00 90.00 120.00
Space group P-3m1 (No. 164)
One atom of each set of equivalent atoms:
Cs1 0.0000 0.0000 0.0000 [1 per cell]
Cs2 0.3333 0.6667 0.6733 [2 per cell]
Ag1 0.3333 0.6667 0.1696 [2 per cell]
Pd1 0.0000 0.0000 0.5000 [1 per cell]
Br1 0.0000 0.5000 0.0000 [3 per cell]
Br2 0.1590 0.3181 0.3418 [6 per cell]

Summary:
Its spin magnetization is 0.0 μB per formula unit. The value obtained for the formation energy from raw total energies is -0.924 eV/atom.

=====

[3]
DFT (PBE-GGA) results for a relaxed CsPmAgBr6 crystal.

abc: 7.2405 7.2466 8.1360
angles: 92.64 92.70 114.93
Space group P1 (No. 1)
One atom of each set of equivalent atoms:
Cs1 0.0000 0.0000 0.0000 [1 per cell]
Pm1 0.3385 0.6627 0.5000 [1 per cell]
Ag1 0.6871 0.3155 0.4988 [1 per cell]
Br1 0.0203 0.3505 0.6736 [1 per cell]
Br2 0.0302 0.6047 0.2551 [1 per cell]
Br3 0.3955 0.9694 0.7452 [1 per cell]
Br4 0.4185 0.3616 0.2937 [1 per cell]
Br5 0.6402 0.5822 0.7050 [1 per cell]
Br6 0.6484 0.9805 0.3250 [1 per cell]

Summary:
Its spin magnetization is 0.9 μB per formula unit. The value obtained for the formation energy from raw total energies is -1.303 eV/atom.

=====

[4]
DFT (PBE-GGA) results for a relaxed Cs3PmAg2Br9 crystal.

abc: 7.9874 7.9874 9.9103
angles: 90.00 90.00 120.00
Space group P-3m1 (No. 164)
One atom of each set of equivalent atoms:
Cs1 0.0000 0.0000 0.0000 [1 per cell]
Cs2 0.3333 0.6667 0.6825 [2 per cell]
Pm1 0.0000 0.0000 0.5000 [1 per cell]
Ag1 0.3333 0.6667 0.1498 [2 per cell]
Br1 0.0000 0.5000 0.0000 [3 per cell]
Br2 0.1689 0.3378 0.3328 [6 per cell]

Summary:
Its spin magnetization is 0.0 μB per formula unit. The value obtained for the formation energy from raw total energies is -1.334 eV/atom.

=====

no.,volume (Å³/f.u.)
1,659.61
2,486.99
3,385.66
4,547.55